Record 1
# Ca4CuW, optimized geometry, DFT PBE
data_Ca4CuW
_chemical_formula_sum 'Ca16 Cu4 W4'
_cell_length_a 8.924
_cell_length_b 8.924
_cell_length_c 8.924
_cell_angle_alpha 90.00
_cell_angle_beta 90.00
_cell_angle_gamma 90.00
_symmetry_space_group_name_H-M 'F -4 3 m'
_symmetry_Int_Tables_number 216
_symmetry_space_group_name_Hall 'F -4 2 3'
loop_
_atom_site_label
_atom_site_type_symbol
_atom_site_fract_x
_atom_site_fract_y
_atom_site_fract_z
_atom_site_occupancy
Ca1 Ca 0.125 0.125 0.125 1
Cu1 Cu 0.250 0.250 0.750 1
W1 W 0.000 0.000 0.500 1
# DFT formation energy: 731 kJ/mol of formula units
# DFT total energy: -17.48 eV/f.u.

Record 2
# Ca2CuW, optimized geometry, DFT PBE
data_Ca2CuW
_chemical_formula_sum 'Ca4 Cu2 W2'
_cell_length_a 11.638
_cell_length_b 2.945
_cell_length_c 5.483
_cell_angle_alpha 90.00
_cell_angle_beta 110.59
_cell_angle_gamma 90.00
_symmetry_space_group_name_H-M 'C 1 m 1'
_symmetry_Int_Tables_number 8
loop_
_symmetry_equiv_pos_as_xyz
'x,y,z'
'x,-y,z'
'x+1/2,y+1/2,z'
'x+1/2,-y+1/2,z'
loop_
_atom_site_label
_atom_site_type_symbol
_atom_site_fract_x
_atom_site_fract_y
_atom_site_fract_z
_atom_site_occupancy
Ca1 Ca 0.000 0.000 0.000 1
Ca2 Ca 0.198 0.000 0.622 1
Cu1 Cu 0.447 0.000 0.475 1
W1 W 0.271 0.500 0.179 1
# DFT formation energy: 235 kJ/mol of formula units
# ΔE to the lowest computed polymorph: 5.4 kJ per mole of atoms
# DFT total energy: -18.62 eV/f.u.

Record 3
# CaCuW2, optimized geometry, DFT PBE
data_CaCuW2
_chemical_formula_sum 'Ca2 Cu2 W4'
_cell_length_a 3.685
_cell_length_b 4.069
_cell_length_c 9.176
_cell_angle_alpha 90.00
_cell_angle_beta 90.00
_cell_angle_gamma 90.00
_symmetry_space_group_name_H-M 'C m m m'
_symmetry_Int_Tables_number 65
_symmetry_space_group_name_Hall '-C 2 2'
loop_
_atom_site_label
_atom_site_type_symbol
_atom_site_fract_x
_atom_site_fract_y
_atom_site_fract_z
_atom_site_occupancy
Ca1 Ca 0.000 0.000 0.000 1
Cu1 Cu 0.000 0.000 0.500 1
W1 W 0.000 0.500 0.289 1
# DFT formation energy: 277 kJ/mol of formula units
# ΔE to the lowest computed polymorph: 23.6 kJ per mole of atoms
# DFT total energy: -29.13 eV/f.u.

Record 4
# CaCuW2, optimized geometry, DFT PBE
data_CaCuW2
_chemical_formula_sum 'Ca4 Cu4 W8'
_cell_length_a 6.450
_cell_length_b 6.450
_cell_length_c 6.450
_cell_angle_alpha 90.00
_cell_angle_beta 90.00
_cell_angle_gamma 90.00
_symmetry_space_group_name_H-M 'F m -3 m'
_symmetry_Int_Tables_number 225
_symmetry_space_group_name_Hall '-F 4 2 3'
loop_
_atom_site_label
_atom_site_type_symbol
_atom_site_fract_x
_atom_site_fract_y
_atom_site_fract_z
_atom_site_occupancy
Ca1 Ca 0.000 0.000 0.000 1
Cu1 Cu 0.000 0.000 0.500 1
W1 W 0.250 0.250 0.250 1
# DFT formation energy: 547 kJ/mol of formula units
# ΔE to the lowest computed polymorph: 91.2 kJ per mole of atoms
# DFT total energy: -26.33 eV/f.u.

Record 5
# CaCuW2, optimized geometry, DFT PBE
data_CaCuW2
_chemical_formula_sum 'Ca2 Cu2 W4'
_cell_length_a 3.829
_cell_length_b 3.829
_cell_length_c 9.810
_cell_angle_alpha 90.00
_cell_angle_beta 90.00
_cell_angle_gamma 90.00
_symmetry_space_group_name_H-M 'I 4/m m m'
_symmetry_Int_Tables_number 139
_symmetry_space_group_name_Hall '-I 4 2'
loop_
_atom_site_label
_atom_site_type_symbol
_atom_site_fract_x
_atom_site_fract_y
_atom_site_fract_z
_atom_site_occupancy
Ca1 Ca 0.000 0.000 0.000 1
Cu1 Cu 0.000 0.000 0.500 1
W1 W 0.000 0.500 0.250 1
# DFT formation energy: 314 kJ/mol of formula units
# ΔE to the lowest computed polymorph: 32.9 kJ per mole of atoms
# DFT total energy: -28.75 eV/f.u.

Record 6
# Ca2CuW2, optimized geometry, DFT PBE
data_Ca2CuW2
_chemical_formula_sum 'Ca4 Cu2 W4'
_cell_length_a 3.883
_cell_length_b 3.883
_cell_length_c 14.479
_cell_angle_alpha 90.00
_cell_angle_beta 90.00
_cell_angle_gamma 90.00
_symmetry_space_group_name_H-M 'I 4/m m m'
_symmetry_Int_Tables_number 139
_symmetry_space_group_name_Hall '-I 4 2'
loop_
_atom_site_label
_atom_site_type_symbol
_atom_site_fract_x
_atom_site_fract_y
_atom_site_fract_z
_atom_site_occupancy
Ca1 Ca 0.000 0.500 0.250 1
Cu1 Cu 0.000 0.000 0.000 1
W1 W 0.000 0.000 0.423 1
# DFT formation energy: 775 kJ/mol of formula units
# ΔE to the lowest computed polymorph: 73.3 kJ per mole of atoms
# DFT total energy: -25.97 eV/f.u.

Record 7
# Ca2CuW, optimized geometry, DFT PBE
data_Ca2CuW
_chemical_formula_sum 'Ca4 Cu2 W2'
_cell_length_a 4.617
_cell_length_b 3.309
_cell_length_c 12.191
_cell_angle_alpha 90.00
_cell_angle_beta 90.00
_cell_angle_gamma 90.00
_symmetry_space_group_name_H-M 'A m m 2'
_symmetry_Int_Tables_number 38
loop_
_symmetry_equiv_pos_as_xyz
'x,y,z'
'-x,-y,z'
'-x,y,z'
'x,-y,z'
'x,y+1/2,z+1/2'
'-x,-y+1/2,z+1/2'
'-x,y+1/2,z+1/2'
'x,-y+1/2,z+1/2'
loop_
_atom_site_label
_atom_site_type_symbol
_atom_site_fract_x
_atom_site_fract_y
_atom_site_fract_z
_atom_site_occupancy
Ca1 Ca 0.000 0.000 0.000 1
Ca2 Ca 0.500 0.000 0.315 1
Cu1 Cu 0.500 0.000 0.615 1
W1 W 0.000 0.000 0.709 1
# DFT formation energy: 278 kJ/mol of formula units
# ΔE to the lowest computed polymorph: 16.3 kJ per mole of atoms
# DFT total energy: -18.17 eV/f.u.

Record 8
# Ca2CuW, optimized geometry, DFT PBE
data_Ca2CuW
_chemical_formula_sum 'Ca8 Cu4 W4'
_cell_length_a 7.215
_cell_length_b 7.215
_cell_length_c 7.215
_cell_angle_alpha 90.00
_cell_angle_beta 90.00
_cell_angle_gamma 90.00
_symmetry_space_group_name_H-M 'F m -3 m'
_symmetry_Int_Tables_number 225
_symmetry_space_group_name_Hall '-F 4 2 3'
loop_
_atom_site_label
_atom_site_type_symbol
_atom_site_fract_x
_atom_site_fract_y
_atom_site_fract_z
_atom_site_occupancy
Ca1 Ca 0.250 0.250 0.250 1
Cu1 Cu 0.000 0.000 0.000 1
W1 W 0.000 0.000 0.500 1
# DFT formation energy: 357 kJ/mol of formula units
# ΔE to the lowest computed polymorph: 35.9 kJ per mole of atoms
# DFT total energy: -17.35 eV/f.u.

> Number 3 is which compound?

CaCuW2

> Which of these has the lowest DFT total energy?

number 3